# Er3Ga5Ni6 | the Alexandria database | PBE | optimized geometry
# Total magnetization   0.0 μB per cell
# Crystal system   orthorhombic
# Energy of formation from the pure elements   -0.583 eV per atom
# Calculated volume   440 Å³/cell
data_Er3Ga5Ni6
_chemical_formula_sum 'Er6 Ga10 Ni12'
_space_group_name_H-M_alt 'P m m n'
_space_group_IT_number 59
_cell_length_a 4.095
_cell_length_b 12.032
_cell_length_c 8.937
_cell_angle_alpha 90.00
_cell_angle_beta 90.00
_cell_angle_gamma 90.00
loop_
_space_group_symop_operation_xyz
'x,y,z'
'-x,-y,-z'
'-x+1/2,-y+1/2,z'
'x+1/2,y+1/2,-z'
'x+1/2,-y,-z'
'-x+1/2,y,z'
'-x,y+1/2,-z'
'x,-y+1/2,z'
loop_
_atom_site_label
_atom_site_type_symbol
_atom_site_fract_x
_atom_site_fract_y
_atom_site_fract_z
_atom_site_occupancy
Er1 Er 0.250 0.057 0.248 1
Er2 Er 0.250 0.750 0.269 1
Ga1 Ga 0.250 0.077 0.589 1
Ga2 Ga 0.250 0.612 0.990 1
Ga3 Ga 0.250 0.750 0.762 1
Ni1 Ni 0.250 0.087 0.864 1
Ni2 Ni 0.250 0.250 0.040 1
Ni3 Ni 0.250 0.250 0.434 1
Ni4 Ni 0.250 0.635 0.538 1